Entry 1:
! SnP2IrO (GGA-PBE, optimized geometry); values from VASP
&SYSTEM
  ibrav = 0, nat = 5, ntyp = 4
/
ATOMIC_SPECIES
O 16.00 O.upf
Ir 192.22 Ir.upf
P 30.97 P.upf
Sn 118.71 Sn.upf
CELL_PARAMETERS angstrom
-0.907 -4.075 1.305
4.424 -2.074 -3.401
2.783 0.452 3.344
ATOMIC_POSITIONS crystal
O 0.500 0.500 0.500
Ir 0.000 0.000 0.000
P 0.000 0.000 0.500
P 0.500 0.000 0.000
Sn 0.000 0.500 0.000
! Energy above the most stable polymorph in this dataset: 0.4448 eV per atom
! Calculated density: 5.669 Mg/m³
! Formation energy without anion corrections: 0.5605 eV/atom
! Final energy: -5.168 eV per atom

Entry 2:
! SnPIrO2 (GGA-PBE, optimized geometry); values from VASP
&SYSTEM
  ibrav = 0, nat = 5, ntyp = 4
/
ATOMIC_SPECIES
Sn 118.71 Sn.upf
P 30.97 P.upf
O 16.00 O.upf
Ir 192.22 Ir.upf
CELL_PARAMETERS angstrom
3.905 0.000 0.000
0.000 3.905 0.000
0.000 0.000 5.039
ATOMIC_POSITIONS crystal
Sn 0.500 0.500 0.500
P 0.000 0.000 0.500
O 0.000 0.500 0.000
O 0.500 0.000 0.000
Ir 0.000 0.000 0.000
! Energy above the most stable polymorph in this dataset: 0.0000 eV per atom
! Calculated density: 8.080 Mg/m³
! Formation energy without anion corrections: -0.2091 eV/atom
! Final energy: -5.847 eV per atom

Entry 3:
! SnP2IrO (GGA-PBE, optimized geometry); values from VASP
&SYSTEM
  ibrav = 0, nat = 5, ntyp = 4
/
ATOMIC_SPECIES
Ir 192.22 Ir.upf
O 16.00 O.upf
P 30.97 P.upf
Sn 118.71 Sn.upf
CELL_PARAMETERS angstrom
4.917 0.000 0.000
0.000 4.917 0.000
0.000 0.000 3.720
ATOMIC_POSITIONS crystal
Ir 0.000 0.000 0.000
O 0.000 0.000 0.500
P 0.000 0.500 0.000
P 0.500 0.000 0.000
Sn 0.500 0.500 0.500
! Energy above the most stable polymorph in this dataset: 0.0000 eV per atom
! Calculated density: 7.179 Mg/m³
! Formation energy without anion corrections: 0.1156 eV/atom
! Final energy: -5.613 eV per atom

Entry 4:
! SnPIrO2 (GGA-PBE, optimized geometry); values from VASP
&SYSTEM
  ibrav = 0, nat = 5, ntyp = 4
/
ATOMIC_SPECIES
O 16.00 O.upf
P 30.97 P.upf
Ir 192.22 Ir.upf
Sn 118.71 Sn.upf
CELL_PARAMETERS angstrom
3.732 0.000 0.000
0.000 3.732 0.000
0.000 0.000 7.214
ATOMIC_POSITIONS crystal
O 0.500 0.000 0.000
O 0.000 0.500 0.000
P 0.000 0.000 0.500
Ir 0.500 0.500 0.500
Sn 0.000 0.000 0.000
! Energy above the most stable polymorph in this dataset: 0.4572 eV per atom
! Calculated density: 6.178 Mg/m³
! Formation energy without anion corrections: 0.2481 eV/atom
! Final energy: -5.390 eV per atom

Entry 5:
! SrP2IrO8 (GGA-PBE, optimized geometry); values from VASP
&SYSTEM
  ibrav = 0, nat = 12, ntyp = 4
/
ATOMIC_SPECIES
P 30.97 P.upf
O 16.00 O.upf
Sr 87.62 Sr.upf
Ir 192.22 Ir.upf
CELL_PARAMETERS angstrom
5.007 0.000 0.000
2.503 4.336 0.000
2.503 1.445 7.713
ATOMIC_POSITIONS crystal
P 0.756 0.756 0.733
P 0.244 0.244 0.267
O 0.681 0.542 0.671
O 0.542 0.106 0.671
O 0.319 0.894 0.329
O 0.690 0.690 0.931
O 0.310 0.310 0.069
O 0.106 0.681 0.671
O 0.458 0.319 0.329
O 0.894 0.458 0.329
Sr 0.000 0.000 0.000
Ir 0.500 0.500 0.500
! Calculated density: 4.659 Mg/m³
! Formation energy without anion corrections: -1.8615 eV/atom
! Final energy: -6.947 eV per atom

Entry 6:
! SrPIrO2 (GGA-PBE, optimized geometry); values from VASP
&SYSTEM
  ibrav = 0, nat = 5, ntyp = 4
/
ATOMIC_SPECIES
O 16.00 O.upf
Sr 87.62 Sr.upf
P 30.97 P.upf
Ir 192.22 Ir.upf
CELL_PARAMETERS angstrom
-0.339 4.110 -0.136
-1.321 -0.238 -3.902
-4.421 -0.315 1.516
ATOMIC_POSITIONS crystal
O 0.000 0.500 0.000
O 0.500 0.000 0.000
Sr 0.500 0.500 0.500
P 0.000 0.000 0.500
Ir 0.000 0.000 0.000
! Energy above the most stable polymorph in this dataset: 0.0000 eV per atom
! Calculated density: 7.138 Mg/m³
! Formation energy without anion corrections: -0.6728 eV/atom
! Final energy: -5.847 eV per atom

Entry 7:
! SrPIrO2 (GGA-PBE, optimized geometry); values from VASP
&SYSTEM
  ibrav = 0, nat = 5, ntyp = 4
/
ATOMIC_SPECIES
Ir 192.22 Ir.upf
O 16.00 O.upf
Sr 87.62 Sr.upf
P 30.97 P.upf
CELL_PARAMETERS angstrom
3.982 0.000 0.000
0.000 3.982 0.000
0.000 0.000 7.193
ATOMIC_POSITIONS crystal
Ir 0.500 0.500 0.500
O 0.500 0.000 0.000
O 0.000 0.500 0.000
Sr 0.000 0.000 0.000
P 0.000 0.000 0.500
! Energy above the most stable polymorph in this dataset: 1.5161 eV per atom
! Calculated density: 4.992 Mg/m³
! Formation energy without anion corrections: 0.8433 eV/atom
! Final energy: -4.330 eV per atom

Entry 8:
! TaP2IrO (GGA-PBE, optimized geometry); values from VASP
&SYSTEM
  ibrav = 0, nat = 5, ntyp = 4
/
ATOMIC_SPECIES
O 16.00 O.upf
Ir 192.22 Ir.upf
P 30.97 P.upf
Ta 180.95 Ta.upf
CELL_PARAMETERS angstrom
4.774 0.000 0.000
0.000 4.774 0.000
0.000 0.000 3.620
ATOMIC_POSITIONS crystal
O 0.000 0.000 0.500
Ir 0.000 0.000 0.000
P 0.500 0.000 0.000
P 0.000 0.500 0.000
Ta 0.500 0.500 0.500
! Energy above the most stable polymorph in this dataset: 0.3013 eV per atom
! Calculated density: 9.078 Mg/m³
! Formation energy without anion corrections: 0.4208 eV/atom
! Final energy: -6.878 eV per atom

Entry 9:
! TaP2IrO (GGA-PBE, optimized geometry); values from VASP
&SYSTEM
  ibrav = 0, nat = 5, ntyp = 4
/
ATOMIC_SPECIES
P 30.97 P.upf
O 16.00 O.upf
Ir 192.22 Ir.upf
Ta 180.95 Ta.upf
CELL_PARAMETERS angstrom
-4.381 -1.420 1.638
0.987 -4.595 -1.345
1.476 -0.668 3.367
ATOMIC_POSITIONS crystal
P 0.500 0.000 0.000
P 0.000 0.500 0.000
O 0.000 0.000 0.500
Ir 0.500 0.500 0.500
Ta 0.000 0.000 0.000
! Energy above the most stable polymorph in this dataset: 0.0000 eV per atom
! Calculated density: 8.391 Mg/m³
! Formation energy without anion corrections: 0.1195 eV/atom
! Final energy: -7.179 eV per atom

Entry 10:
! TcPIrO2 (GGA-PBE, optimized geometry); values from VASP
&SYSTEM
  ibrav = 0, nat = 5, ntyp = 4
/
ATOMIC_SPECIES
Tc 98.00 Tc.upf
O 16.00 O.upf
P 30.97 P.upf
Ir 192.22 Ir.upf
CELL_PARAMETERS angstrom
-1.483 2.820 1.902
-3.073 -2.000 0.569
2.200 -2.034 4.730
ATOMIC_POSITIONS crystal
Tc 0.500 0.500 0.500
O 0.000 0.500 0.000
O 0.500 0.000 0.000
P 0.000 0.000 0.500
Ir 0.000 0.000 0.000
! Energy above the most stable polymorph in this dataset: 0.3916 eV per atom
! Calculated density: 7.607 Mg/m³
! Formation energy without anion corrections: 0.2200 eV/atom
! Final energy: -6.691 eV per atom

Entry 11:
! TcPIrO2 (GGA-PBE, optimized geometry); values from VASP
&SYSTEM
  ibrav = 0, nat = 5, ntyp = 4
/
ATOMIC_SPECIES
O 16.00 O.upf
Tc 98.00 Tc.upf
Ir 192.22 Ir.upf
P 30.97 P.upf
CELL_PARAMETERS angstrom
-3.213 1.463 -0.992
-1.413 -0.889 3.265
1.585 4.841 2.004
ATOMIC_POSITIONS crystal
O 0.000 0.500 0.000
O 0.500 0.000 0.000
Tc 0.000 0.000 0.000
Ir 0.500 0.500 0.500
P 0.000 0.000 0.500
! Energy above the most stable polymorph in this dataset: 0.0000 eV per atom
! Calculated density: 7.968 Mg/m³
! Formation energy without anion corrections: -0.1716 eV/atom
! Final energy: -7.082 eV per atom

Entry 12:
! TePIrO2 (GGA-PBE, optimized geometry); values from VASP
&SYSTEM
  ibrav = 0, nat = 5, ntyp = 4
/
ATOMIC_SPECIES
Te 127.60 Te.upf
O 16.00 O.upf
P 30.97 P.upf
Ir 192.22 Ir.upf
CELL_PARAMETERS angstrom
3.827 0.000 0.000
0.000 3.827 0.000
0.000 0.000 5.563
ATOMIC_POSITIONS crystal
Te 0.000 0.000 0.000
O 0.000 0.500 0.000
O 0.500 0.000 0.000
P 0.000 0.000 0.500
Ir 0.500 0.500 0.500
! Energy above the most stable polymorph in this dataset: 0.4957 eV per atom
! Calculated density: 7.801 Mg/m³
! Formation energy without anion corrections: 0.3845 eV/atom
! Final energy: -5.081 eV per atom

Entry 13:
! TePIrO2 (GGA-PBE, optimized geometry); values from VASP
&SYSTEM
  ibrav = 0, nat = 5, ntyp = 4
/
ATOMIC_SPECIES
O 16.00 O.upf
P 30.97 P.upf
Te 127.60 Te.upf
Ir 192.22 Ir.upf
CELL_PARAMETERS angstrom
-0.413 -1.698 3.340
-4.356 -3.860 -2.501
2.706 -2.459 -0.916
ATOMIC_POSITIONS crystal
O 0.000 0.000 0.500
O 0.500 0.000 0.000
P 0.500 0.500 0.500
Te 0.000 0.500 0.000
Ir 0.000 0.000 0.000
! Energy above the most stable polymorph in this dataset: 0.0497 eV per atom
! Calculated density: 7.063 Mg/m³
! Formation energy without anion corrections: -0.0615 eV/atom
! Final energy: -5.527 eV per atom

Entry 14:
! TePIrO2 (GGA-PBE, optimized geometry); values from VASP
&SYSTEM
  ibrav = 0, nat = 5, ntyp = 4
/
ATOMIC_SPECIES
P 30.97 P.upf
Ir 192.22 Ir.upf
O 16.00 O.upf
Te 127.60 Te.upf
CELL_PARAMETERS angstrom
-1.614 1.489 -3.108
1.182 -2.984 -2.044
-4.757 -2.693 1.180
ATOMIC_POSITIONS crystal
P 0.000 0.000 0.500
Ir 0.000 0.000 0.000
O 0.000 0.500 0.000
O 0.500 0.000 0.000
Te 0.500 0.500 0.500
! Energy above the most stable polymorph in this dataset: 0.0000 eV per atom
! Calculated density: 7.850 Mg/m³
! Formation energy without anion corrections: -0.1112 eV/atom
! Final energy: -5.577 eV per atom

Entry 15:
! ThPIrO (GGA-PBE, optimized geometry); values from VASP
&SYSTEM
  ibrav = 0, nat = 8, ntyp = 4
/
ATOMIC_SPECIES
Ir 192.22 Ir.upf
P 30.97 P.upf
O 16.00 O.upf
Th 232.04 Th.upf
CELL_PARAMETERS angstrom
3.963 0.000 0.000
0.000 3.963 0.000
0.000 0.000 8.300
ATOMIC_POSITIONS crystal
Ir 0.000 0.000 0.000
Ir 0.500 0.500 0.000
P 0.500 0.000 0.164
P 0.000 0.500 0.836
O 0.000 0.000 0.500
O 0.500 0.500 0.500
Th 0.500 0.000 0.665
Th 0.000 0.500 0.335
! Calculated density: 12.004 Mg/m³
! Formation energy without anion corrections: -2.0673 eV/atom
! Final energy: -8.730 eV per atom

Entry 16:
! TiPIrO2 (GGA-PBE, optimized geometry); values from VASP
&SYSTEM
  ibrav = 0, nat = 5, ntyp = 4
/
ATOMIC_SPECIES
Ti 47.87 Ti.upf
Ir 192.22 Ir.upf
O 16.00 O.upf
P 30.97 P.upf
CELL_PARAMETERS angstrom
-1.107 -3.031 -1.684
-0.867 -1.469 3.215
-5.340 2.193 -0.437
ATOMIC_POSITIONS crystal
Ti 0.000 0.000 0.000
Ir 0.500 0.500 0.500
O 0.000 0.500 0.000
O 0.500 0.000 0.000
P 0.000 0.000 0.500
! Energy above the most stable polymorph in this dataset: 0.0000 eV per atom
! Calculated density: 6.561 Mg/m³
! Formation energy without anion corrections: -0.8001 eV/atom
! Final energy: -7.217 eV per atom

Entry 17:
! TiPIrO2 (GGA-PBE, optimized geometry); values from VASP
&SYSTEM
  ibrav = 0, nat = 5, ntyp = 4
/
ATOMIC_SPECIES
O 16.00 O.upf
Ir 192.22 Ir.upf
Ti 47.87 Ti.upf
P 30.97 P.upf
CELL_PARAMETERS angstrom
-0.152 -2.876 2.409
3.679 0.359 0.660
-1.055 3.421 4.016
ATOMIC_POSITIONS crystal
O 0.500 0.000 0.000
O 0.000 0.500 0.000
Ir 0.000 0.000 0.000
Ti 0.500 0.500 0.500
P 0.000 0.000 0.500
! Energy above the most stable polymorph in this dataset: 0.5036 eV per atom
! Calculated density: 6.636 Mg/m³
! Formation energy without anion corrections: -0.2965 eV/atom
! Final energy: -6.713 eV per atom

Entry 18:
! TlP2IrO8 (GGA-PBE, optimized geometry); values from VASP
&SYSTEM
  ibrav = 0, nat = 12, ntyp = 4
/
ATOMIC_SPECIES
O 16.00 O.upf
P 30.97 P.upf
Tl 204.38 Tl.upf
Ir 192.22 Ir.upf
CELL_PARAMETERS angstrom
4.900 -0.087 0.051
2.183 4.387 0.051
0.425 0.258 8.425
ATOMIC_POSITIONS crystal
O 0.239 0.717 0.835
O 0.283 0.761 0.165
O 0.237 0.237 0.959
O 0.307 0.307 0.649
O 0.763 0.763 0.041
O 0.717 0.239 0.835
O 0.693 0.693 0.351
O 0.761 0.283 0.165
P 0.364 0.364 0.813
P 0.636 0.636 0.187
Tl 0.000 0.000 0.500
Ir 0.000 0.000 0.000
! Calculated density: 5.335 Mg/m³
! Formation energy without anion corrections: -1.5432 eV/atom
! Final energy: -6.686 eV per atom

Entry 19:
! TlP2IrO (GGA-PBE, optimized geometry); values from VASP
&SYSTEM
  ibrav = 0, nat = 5, ntyp = 4
/
ATOMIC_SPECIES
O 16.00 O.upf
P 30.97 P.upf
Ir 192.22 Ir.upf
Tl 204.38 Tl.upf
CELL_PARAMETERS angstrom
-0.792 4.104 -2.671
-2.007 -2.740 -3.615
-3.363 0.379 1.579
ATOMIC_POSITIONS crystal
O 0.000 0.000 0.500
P 0.000 0.500 0.000
P 0.500 0.000 0.000
Ir 0.000 0.000 0.000
Tl 0.500 0.500 0.500
! Energy above the most stable polymorph in this dataset: 0.0000 eV per atom
! Calculated density: 8.576 Mg/m³
! Formation energy without anion corrections: 0.1980 eV/atom
! Final energy: -5.203 eV per atom

Entry 20:
! TlP2IrO (GGA-PBE, optimized geometry); values from VASP
&SYSTEM
  ibrav = 0, nat = 5, ntyp = 4
/
ATOMIC_SPECIES
P 30.97 P.upf
Ir 192.22 Ir.upf
O 16.00 O.upf
Tl 204.38 Tl.upf
CELL_PARAMETERS angstrom
-3.010 3.149 -2.604
-4.084 -2.226 2.030
0.091 2.539 2.965
ATOMIC_POSITIONS crystal
P 0.500 0.000 0.000
P 0.000 0.500 0.000
Ir 0.500 0.500 0.500
O 0.000 0.000 0.500
Tl 0.000 0.000 0.000
! Energy above the most stable polymorph in this dataset: 1.4137 eV per atom
! Calculated density: 7.836 Mg/m³
! Formation energy without anion corrections: 1.6116 eV/atom
! Final energy: -3.789 eV per atom